w) A geometry-optimized Cd5C structure, computed with GGA-PBE.

Cell and atoms, written as POSCAR:
```
Cd5C
1.0
3.6462 0.0000 0.0000
0.0000 1.5068 11.6124
0.0000 -1.5068 11.6124
Cd C
5 1
direct
0.0000 0.0000 0.0000
0.0000 0.2176 0.2176
0.5000 0.1092 0.1092
0.5000 0.4138 0.4138
0.5000 0.8021 0.8021
0.0000 0.5859 0.5859
```

Results
* N(E_F): 1.693 states/eV/f.u.

x) A geometry-optimized Cd5C structure, computed with GGA-PBE.

Cell and atoms, written as POSCAR:
```
Cd5C
1.0
4.2208 0.0000 0.0000
0.0000 2.2453 7.4702
0.0000 -2.2453 7.4702
Cd C
5 1
direct
0.0000 0.0000 0.0000
0.0000 0.2717 0.2717
0.0000 0.6435 0.6435
0.5000 0.4841 0.4841
0.5000 0.7951 0.7951
0.5000 0.9475 0.9475
```

Results
* N(E_F): 0.905 states/eV/f.u.

y) A geometry-optimized Cd5C structure, computed with GGA-PBE.

Cell and atoms, written as POSCAR:
```
Cd5C
1.0
5.2953 0.0000 0.0000
-2.6476 4.5858 0.0000
0.0000 0.0000 4.8816
Cd C
5 1
direct
0.0000 0.6825 0.0000
0.3175 0.3175 0.0000
0.3333 0.6667 0.5000
0.6667 0.3333 0.5000
0.6825 0.0000 0.0000
0.0000 0.0000 0.5000
```

Results
* N(E_F): 1.027 states/eV/f.u.

Last place for stability: y)

w) A geometry-optimized CdC3 structure, computed with GGA-PBE.

Cell and atoms, written as POSCAR:
```
CdC3
1.0
-1.2345 3.0952 3.6942
1.2345 -3.0952 3.6942
1.2345 3.0952 -3.6942
Cd C
1 3
direct
0.0000 0.0000 0.0000
0.3472 0.5000 0.8472
0.5000 0.0000 0.5000
0.6528 0.5000 0.1528
```

Results
* N(E_F): 0.584 states/eV/f.u.

x) A geometry-optimized CdC3 structure, computed with GGA-PBE.

Cell and atoms, written as POSCAR:
```
CdC3
1.0
-2.1886 2.1886 2.1886
2.1886 -2.1886 2.1886
2.1886 2.1886 -2.1886
Cd C
1 3
direct
0.0000 0.0000 0.0000
0.0000 0.5000 0.5000
0.5000 0.0000 0.5000
0.5000 0.5000 0.0000
```

Results
* N(E_F): 3.675 states/eV/f.u.

Last place for stability: x)

w) A geometry-optimized Cd2CCl structure, computed with GGA-PBE.

Cell and atoms, written as POSCAR:
```
Cd2CCl
1.0
-2.9625 2.9625 5.3724
2.9625 -2.9625 5.3724
2.9625 2.9625 -5.3724
Cd C Cl
4 2 2
direct
0.0302 0.6250 0.9052
0.3750 0.2802 0.4052
0.7198 0.1250 0.0948
0.8750 0.9698 0.5948
0.0000 0.0000 0.0000
0.7500 0.2500 0.5000
0.2500 0.7500 0.5000
0.5000 0.5000 0.0000
```

Results
* N(E_F): 0.324 states/eV/f.u.

x) A geometry-optimized Cd2CCl structure, computed with GGA-PBE.

Cell and atoms, written as POSCAR:
```
Cd2CCl
1.0
0.0000 3.3573 3.3573
3.3573 0.0000 3.3573
3.3573 3.3573 0.0000
Cd C Cl
2 1 1
direct
0.2500 0.2500 0.2500
0.7500 0.7500 0.7500
0.0000 0.0000 0.0000
0.5000 0.5000 0.5000
```

Results
* N(E_F): 1.619 states/eV/f.u.

Last place for stability: x)

w) A geometry-optimized CdPCCl2 structure, computed with GGA-PBE.

Cell and atoms, written as POSCAR:
```
CdPCCl2
1.0
5.8132 0.0000 0.0000
0.0000 5.8132 0.0000
0.0000 0.0000 3.2629
Cd P C Cl
1 1 1 2
direct
0.0000 0.0000 0.0000
0.5000 0.5000 0.0000
0.5000 0.5000 0.5000
0.0000 0.5000 0.5000
0.5000 0.0000 0.5000
```

Results
* N(E_F): 2.183 states/eV/f.u.

x) A geometry-optimized CdPCCl2 structure, computed with GGA-PBE.

Cell and atoms, written as POSCAR:
```
CdPCCl2
1.0
5.1858 0.0000 0.0000
0.0000 5.1858 0.0000
0.0000 0.0000 5.2578
Cd P C Cl
1 1 1 2
direct
0.0000 0.0000 0.0000
0.0000 0.0000 0.5000
0.5000 0.5000 0.5000
0.0000 0.5000 0.0000
0.5000 0.0000 0.0000
```

Results
* N(E_F): 6.150 states/eV/f.u.

Last place for stability: x)

w) A geometry-optimized Cd3CoC structure, computed with GGA-PBE.

Cell and atoms, written as POSCAR:
```
Cd3CoC
1.0
4.5338 0.0000 0.0000
0.0000 4.5338 0.0000
0.0000 0.0000 4.5338
Cd Co C
3 1 1
direct
0.0000 0.0000 0.5000
0.0000 0.5000 0.0000
0.5000 0.0000 0.0000
0.5000 0.5000 0.5000
0.0000 0.0000 0.0000
```

Results
* N(E_F): 4.885 states/eV/f.u.

x) A geometry-optimized Cd3CoC structure, computed with GGA-PBE.

Cell and atoms, written as POSCAR:
```
Cd3CoC
1.0
4.9414 0.0000 0.0000
0.0000 4.9414 0.0000
0.0000 0.0000 4.9414
Cd Co C
3 1 1
direct
0.0000 0.0000 0.5000
0.0000 0.5000 0.0000
0.5000 0.0000 0.0000
0.0000 0.0000 0.0000
0.5000 0.5000 0.5000
```

Results
* N(E_F): 5.273 states/eV/f.u.

Last place for stability: x)

w) A geometry-optimized CrCdC3 structure, computed with GGA-PBE.

Cell and atoms, written as POSCAR:
```
CrCdC3
1.0
4.1578 0.0000 0.0000
0.0000 4.1578 0.0000
0.0000 0.0000 4.1578
Cr Cd C
1 1 3
direct
0.0000 0.0000 0.0000
0.5000 0.5000 0.5000
0.0000 0.5000 0.5000
0.5000 0.0000 0.5000
0.5000 0.5000 0.0000
```

Results
* N(E_F): 6.999 states/eV/f.u.

x) A geometry-optimized CrCdC3 structure, computed with GGA-PBE.

Cell and atoms, written as POSCAR:
```
CrCdC3
1.0
3.8904 0.0000 0.0000
0.0000 3.8904 0.0000
0.0000 0.0000 3.8904
Cr Cd C
1 1 3
direct
0.0000 0.0000 0.0000
0.5000 0.5000 0.5000
0.0000 0.0000 0.5000
0.0000 0.5000 0.0000
0.5000 0.0000 0.0000
```

Results
* N(E_F): 2.552 states/eV/f.u.

Last place for stability: w)